Record 1
A relaxed structure of MgGeAsSe2. Source: Alexandria via LeMat-Bulk, functional PBE-GGA.

a b c (Å): 5.040 5.040 4.948
angles (deg): 90.00 90.00 90.00
Space group P4/mmm (No. 123)
Inequivalent atoms, fractional coordinates:
Mg: 0.000 0.000 0.000 (multiplicity 1)
Ge: 0.500 0.500 0.500 (multiplicity 1)
As: 0.000 0.000 0.500 (multiplicity 1)
Se: 0.000 0.500 0.000 (multiplicity 2)

Results
Mass density   4.358 g cm⁻³
Magnetization   0.00 μB per cell
Excess energy over the best structure of this formula in the dataset   108 meV per atom
Raw formation energy   37.8 kJ per mole of atoms
Energy   -3.1746 eV per atom


Record 2
A relaxed structure of MgGe2AsSe. Source: Alexandria via LeMat-Bulk, functional PBE-GGA.

a b c (Å): 5.043 5.043 5.153
angles (deg): 90.00 90.00 90.00
Space group P4/mmm (No. 123)
Inequivalent atoms, fractional coordinates:
Mg: 0.000 0.000 0.000 (multiplicity 1)
Ge: 0.000 0.500 0.500 (multiplicity 2)
As: 0.500 0.500 0.500 (multiplicity 1)
Se: 0.500 0.500 0.000 (multiplicity 1)

Results
Mass density   4.098 g cm⁻³
Magnetization   0.00 μB per cell
Raw formation energy   47.4 kJ per mole of atoms
Energy   -3.3011 eV per atom


Record 3
A relaxed structure of MgGeAsSe2. Source: Alexandria via LeMat-Bulk, functional PBE-GGA.

a b c (Å): 5.023 5.023 4.969
angles (deg): 90.00 90.00 90.00
Space group P4/mmm (No. 123)
Inequivalent atoms, fractional coordinates:
Mg: 0.000 0.000 0.000 (multiplicity 1)
Ge: 0.500 0.500 0.500 (multiplicity 1)
As: 0.500 0.500 0.000 (multiplicity 1)
Se: 0.000 0.500 0.500 (multiplicity 2)

Results
Mass density   4.368 g cm⁻³
Magnetization   0.00 μB per cell
Excess energy over the best structure of this formula in the dataset   0 meV per atom
Raw formation energy   27.3 kJ per mole of atoms
Energy   -3.2829 eV per atom


Record 4
A relaxed structure of SrMg2GeAs. Source: Alexandria via LeMat-Bulk, functional PBE-GGA.

a b c (Å): 5.026 5.026 5.618
angles (deg): 90.00 90.00 90.00
Space group P4/mmm (No. 123)
Inequivalent atoms, fractional coordinates:
Sr: 0.000 0.000 0.000 (multiplicity 1)
Mg: 0.000 0.500 0.500 (multiplicity 2)
Ge: 0.500 0.500 0.500 (multiplicity 1)
As: 0.500 0.500 0.000 (multiplicity 1)

Results
E_form   -50 meV per atom
Mass density   3.321 g cm⁻³
Magnetization   0.00 μB per cell
Energy   -2.8781 eV per atom


Record 5
A relaxed structure of MgTc2GeAs. Source: Alexandria via LeMat-Bulk, functional PBE-GGA.

a b c (Å): 4.732 4.732 4.537
angles (deg): 90.00 90.00 90.00
Space group P4/mmm (No. 123)
Inequivalent atoms, fractional coordinates:
Mg: 0.000 0.000 0.000 (multiplicity 1)
Tc: 0.000 0.500 0.000 (multiplicity 2)
Ge: 0.000 0.000 0.500 (multiplicity 1)
As: 0.500 0.500 0.500 (multiplicity 1)

Results
E_form   1704 meV per atom
Mass density   6.013 g cm⁻³
Magnetization   3.41 μB per cell
Energy   -4.6143 eV per atom


Record 6
A relaxed structure of MnGeAs2. Source: Alexandria via LeMat-Bulk, functional PBE-GGA.

a b c (Å): 2.9141 2.9141 30.5070
angles (deg): 90.00 90.00 120.00
Space group R-3m (No. 166, hexagonal axes)
Inequivalent atoms, fractional coordinates:
Mn: 0.0000 0.0000 0.0000 (multiplicity 3)
Ge: 0.0000 0.0000 0.5000 (multiplicity 3)
As: 0.0000 0.0000 0.0813 (multiplicity 6)

Results
E_form   447 meV per atom
Mass density   6.160 g cm⁻³
Magnetization   10.85 μB per cell
Energy   -5.3249 eV per atom


Record 7
A relaxed structure of MnGe2As. Source: Alexandria via LeMat-Bulk, functional PBE-GGA.

a b c (Å): 5.931 5.931 10.924
angles (deg): 90.00 90.00 90.00
Space group I-42d (No. 122)
Inequivalent atoms, fractional coordinates:
Mn: 0.000 0.000 0.000 (multiplicity 4)
Ge: 0.247 0.250 0.125 (multiplicity 8)
As: 0.000 0.000 0.500 (multiplicity 4)

Results
E_form   321 meV per atom
Mass density   4.755 g cm⁻³
Magnetization   15.23 μB per cell
Energy   -5.4420 eV per atom


Record 8
A relaxed structure of Mn2GeAs. Source: Alexandria via LeMat-Bulk, functional PBE-GGA.

a b c (Å): 5.866 5.866 5.866
angles (deg): 90.00 90.00 90.00
Space group Fm-3m (No. 225)
Inequivalent atoms, fractional coordinates:
Mn: 0.250 0.250 0.250 (multiplicity 8)
Ge: 0.000 0.000 0.000 (multiplicity 4)
As: 0.000 0.000 0.500 (multiplicity 4)

Results
E_form   100 meV per atom
Mass density   8.471 g cm⁻³
Magnetization   3.05 μB per cell
Excess energy over the best structure of this formula in the dataset   0 meV per atom
Energy   -6.8018 eV per atom


Among the records above, which one has the lowest energy? Mn2GeAs